# Co2SiCl, relaxed, DFT GGA-PBE
# offset from the most stable computed form	0.132	eV per formula unit
# calculated total energy	-21.9	eV per formula unit
# raw formation energy	-0.095	eV/atom
# magnetic moment	4.3	μB per cell
data_Co2SiCl
_chemical_formula_sum 'Co4 Si2 Cl2'
_symmetry_space_group_name_H-M 'C 1 m 1'
_symmetry_Int_Tables_number 8
_symmetry_space_group_name_Hall 'C -2y'
_cell_length_a 12.131
_cell_length_b 3.458
_cell_length_c 2.891
_cell_angle_alpha 90.00
_cell_angle_beta 103.72
_cell_angle_gamma 90.00
loop_
_atom_site_label
_atom_site_type_symbol
_atom_site_fract_x
_atom_site_fract_y
_atom_site_fract_z
_atom_site_occupancy
Co1 Co 0.000 0.000 0.000 1
Co2 Co 0.178 0.000 0.677 1
Si1 Si 0.129 0.500 0.128 1
Cl1 Cl 0.369 0.000 0.866 1